## MgBeCr2 (GGA-PBE)

Data for crystalline MgBeCr2 at its relaxed geometry.

POSCAR file:
```
MgBeCr2
1.0
4.223 0.000 0.000
0.000 4.223 0.000
0.000 0.000 5.954
Mg Be Cr
2 2 4
Cartesian
0.000 0.000 0.000
2.111 2.111 2.977
0.000 2.111 4.466
2.111 0.000 1.489
0.000 0.000 2.977
0.000 2.111 1.489
2.111 0.000 4.466
2.111 2.111 0.000
```

Properties
Crystal system: tetragonal
Energy above the most stable polymorph in this dataset (meV per atom): 164

***

## MgBe2Cr2 (GGA-PBE)

Data for crystalline MgBe2Cr2 at its relaxed geometry.

POSCAR file:
```
MgBe2Cr2
1.0
6.298 0.000 0.000
0.000 6.298 0.000
0.000 0.000 2.998
Mg Be Cr
2 4 4
Cartesian
0.000 0.000 0.000
3.149 3.149 0.000
0.748 2.401 0.000
2.401 5.550 0.000
3.897 0.748 0.000
5.550 3.897 0.000
1.076 4.225 1.499
2.073 1.076 1.499
4.225 5.222 1.499
5.222 2.073 1.499
```

Properties
Crystal system: tetragonal

***

## MgBeCr2 (GGA-PBE)

Data for crystalline MgBeCr2 at its relaxed geometry.

POSCAR file:
```
MgBeCr2
1.0
3.435 0.000 0.000
0.000 3.435 0.000
0.000 0.000 18.063
Mg Be Cr
4 4 8
Cartesian
0.000 0.000 0.000
0.000 1.718 4.516
1.718 0.000 13.547
1.718 1.718 9.031
0.000 0.000 9.031
0.000 1.718 13.547
1.718 0.000 4.516
1.718 1.718 0.000
0.723 0.859 11.289
0.859 2.441 15.805
0.859 2.712 6.773
0.994 0.859 2.258
2.441 2.577 2.258
2.577 0.723 6.773
2.577 0.994 15.805
2.712 2.577 11.289
```

Properties
Crystal system: tetragonal
Energy above the most stable polymorph in this dataset (meV per atom): 593

***

## MgBe3Cr (GGA-PBE)

Data for crystalline MgBe3Cr at its relaxed geometry.

POSCAR file:
```
MgBe3Cr
1.0
4.163 0.000 0.000
0.000 4.163 0.000
0.000 0.000 4.163
Mg Be Cr
1 3 1
Cartesian
0.000 0.000 0.000
0.000 2.081 2.081
2.081 0.000 2.081
2.081 2.081 0.000
2.081 2.081 2.081
```

Properties
Crystal system: cubic
Energy above the most stable polymorph in this dataset (meV per atom): 0

***

## MgBeCr2 (GGA-PBE)

Data for crystalline MgBeCr2 at its relaxed geometry.

POSCAR file:
```
MgBeCr2
1.0
4.877 0.000 0.000
0.000 8.260 0.000
0.000 0.000 2.455
Mg Be Cr
2 2 4
Cartesian
0.000 0.000 0.000
2.438 4.130 0.000
0.000 4.130 0.000
2.438 0.000 0.000
1.219 2.065 1.227
1.219 6.195 1.227
3.657 2.065 1.227
3.657 6.195 1.227
```

Properties
Crystal system: orthorhombic
Energy above the most stable polymorph in this dataset (meV per atom): 258

***

## MgBe2Cr (GGA-PBE)

Data for crystalline MgBe2Cr at its relaxed geometry.

POSCAR file:
```
MgBe2Cr
1.0
2.620 0.000 0.000
-1.310 2.269 0.000
0.000 0.000 24.929
Mg Be Cr
3 6 3
Cartesian
0.000 0.000 0.000
0.000 1.513 16.619
1.310 0.756 8.310
0.000 0.000 6.021
0.000 0.000 18.908
0.000 1.513 10.598
0.000 1.513 22.641
1.310 0.756 2.288
1.310 0.756 14.331
0.000 0.000 12.465
0.000 1.513 4.155
1.310 0.756 20.774
```

Properties
Crystal system: trigonal

***

## MgBeCr2 (GGA-PBE)

Data for crystalline MgBeCr2 at its relaxed geometry.

POSCAR file:
```
MgBeCr2
1.0
3.390 0.000 0.000
0.000 3.714 0.000
0.000 0.000 7.762
Mg Be Cr
2 2 4
Cartesian
0.000 0.000 0.000
1.695 1.857 0.000
0.000 0.000 3.881
1.695 1.857 3.881
0.000 1.857 2.269
0.000 1.857 5.493
1.695 0.000 2.269
1.695 0.000 5.493
```

Properties
Crystal system: orthorhombic
Energy above the most stable polymorph in this dataset (meV per atom): 142

***

## MgBeCr2 (GGA-PBE)

Data for crystalline MgBeCr2 at its relaxed geometry.

POSCAR file:
```
MgBeCr2
1.0
2.605 0.000 0.000
-1.302 2.256 0.000
0.000 0.000 26.046
Mg Be Cr
3 3 6
Cartesian
0.000 0.000 0.000
0.000 1.504 17.364
1.302 0.752 8.682
0.000 0.000 19.654
0.000 1.504 10.972
1.302 0.752 2.290
0.000 0.000 6.285
0.000 0.000 12.860
0.000 1.504 4.178
0.000 1.504 23.649
1.302 0.752 14.967
1.302 0.752 21.542
```

Properties
Crystal system: trigonal
Energy above the most stable polymorph in this dataset (meV per atom): 293

***

## MgBe2Cr (GGA-PBE)

Data for crystalline MgBe2Cr at its relaxed geometry.

POSCAR file:
```
MgBe2Cr
1.0
4.113 0.000 0.000
0.000 4.113 0.000
0.000 0.000 2.687
Mg Be Cr
1 2 1
Cartesian
0.000 0.000 0.000
0.000 2.056 1.343
2.056 0.000 1.343
2.056 2.056 0.000
```

Properties
Crystal system: tetragonal

***

## MgBeCr2 (GGA-PBE)

Data for crystalline MgBeCr2 at its relaxed geometry.

POSCAR file:
```
MgBeCr2
1.0
4.275 0.000 0.000
0.000 4.275 0.000
0.000 0.000 3.158
Mg Be Cr
1 1 2
Cartesian
0.000 0.000 0.000
2.137 2.137 0.000
0.000 2.137 1.579
2.137 0.000 1.579
```

Properties
Crystal system: tetragonal
Energy above the most stable polymorph in this dataset (meV per atom): 391

***

Computed raw total energy, in the same sequence as the records: -0.212, -0.198, -0.196, -0.127, -0.208, -0.154, -0.212, -0.207, -0.161, -0.203 hartree per atom.